[1]
SrTb2Dy: optimized geometry, PBE-GGA.

a b c (Å): 3.678 3.678 10.592
angles (deg): 90.00 90.00 90.00
Space group P4/mmm (No. 123)
Inequivalent atoms, fractional coordinates:
Sr 0.000 0.000 0.000 [1 per cell]
Tb 0.500 0.500 0.279 [2 per cell]
Dy 0.000 0.000 0.500 [1 per cell]

[2]
SrTb2Dy: optimized geometry, PBE-GGA.

a b c (Å): 3.6084 3.6084 38.3917
angles (deg): 90.00 90.00 120.00
Space group R-3m (No. 166, hexagonal axes)
Inequivalent atoms, fractional coordinates:
Sr 0.0000 0.0000 0.0000 [3 per cell]
Tb 0.0000 0.0000 0.0931 [6 per cell]
Dy 0.0000 0.0000 0.5000 [3 per cell]

Number 1: size of the total moment 0.00 μB per cell, DFT total energy -15.07 eV/cell, formation enthalpy at 0 K 0.119 eV/atom. Number 2: size of the total moment 0.00 μB per cell, DFT total energy -44.03 eV/cell, formation enthalpy at 0 K 0.217 eV/atom.